The following is a DFT calculation (PBE) of a relaxed Sm2Ho3Er crystal.

a b c (Å): 5.628 8.941 9.664
angles (deg): 122.59 90.00 108.34
Sites, in units of the cell vectors:
Sm  0.501  0.003  0.835
Sm  0.499  0.997  0.165
Sm  0.750  0.499  0.073
Sm  0.250  0.501  0.927
Ho  0.250  0.500  0.590
Ho  0.001  0.003  0.668
Ho  0.624  0.248  0.618
Ho  0.376  0.752  0.382
Ho  0.999  0.997  0.332
Ho  0.750  0.500  0.410
Er  0.875  0.750  0.868
Er  0.125  0.250  0.132

Polymorph energy (0 for the lowest one): 0.000 eV per formula unit
Space-group type: C2/m (12)
Total magnetic moment: 0.0 μB per formula unit

=====

The following is a DFT calculation (PBE) of a relaxed PmNd3Zn8 crystal.

a b c (Å): 5.696 5.696 8.739
angles (deg): 90.00 90.00 120.00
Sites, in units of the cell vectors:
Pm  0.000  0.000  0.553
Nd  0.667  0.333  0.448
Nd  0.667  0.333  0.052
Nd  0.000  0.000  0.947
Zn  0.333  0.667  0.500
Zn  0.333  0.667  0.001
Zn  0.497  0.994  0.749
Zn  0.497  0.503  0.749
Zn  0.006  0.503  0.749
Zn  0.169  0.338  0.251
Zn  0.169  0.831  0.251
Zn  0.662  0.831  0.251

Uncorrected energy: -2.740 eV/atom
Space-group type: P3m1 (156)
Total magnetic moment: 0.0 μB per formula unit

=====

The following is a DFT calculation (PBE) of a relaxed CdIn2W crystal.

a b c (Å): 5.683 5.683 5.182
angles (deg): 81.64 81.64 29.93
Sites, in units of the cell vectors:
Cd  0.774  0.774  0.766
W  0.489  0.489  0.472
In  0.009  0.009  0.969
In  0.229  0.229  0.293

Uncorrected energy: -4.357 eV/atom
Space-group type: Cm (8)
Total magnetic moment: 0.0 μB per formula unit

=====

The following is a DFT calculation (PBE) of a relaxed TiSiSb2Te crystal.

a b c (Å): 5.140 5.140 5.172
angles (deg): 90.00 90.00 90.00
Site moments in Bohr magnetons follow the coordinates.
Sites, in units of the cell vectors:
Sb  0.000  0.500  0.000  0.02
Sb  0.500  0.000  0.000  0.02
Si  0.000  0.000  0.000  0.01
Te  0.000  0.000  0.500  0.02
Ti  0.500  0.500  0.500  -0.13

Polymorph energy (0 for the lowest one): 1.167 eV per formula unit
Space-group type: P4/mmm (123)
Total magnetic moment: 0.0 μB per formula unit